Compound: AlTcRu2
Source: the Alexandria database
Functional: GGA-PBEsol
Structure: optimized geometry

```
data_AlTcRu2
_symmetry_space_group_name_H-M 'P 1'
_symmetry_Int_Tables_number 1
_cell_length_a 5.021
_cell_length_b 5.021
_cell_length_c 5.021
_cell_angle_alpha 146.16
_cell_angle_beta 129.47
_cell_angle_gamma 62.21
loop_
_symmetry_equiv_pos_as_xyz
'x,y,z'
loop_
_atom_site_label
_atom_site_type_symbol
_atom_site_fract_x
_atom_site_fract_y
_atom_site_fract_z
_atom_site_occupancy
Al1 Al 0.000 0.000 0.000 1
Tc1 Tc 0.244 0.744 0.500 1
Ru1 Ru 0.499 0.499 0.000 1
Ru2 Ru 0.765 0.265 0.500 1
```

## Properties
total magnetic moment	0.0	μB/cell
E above lowest polymorph	136	meV per atom
space-group type	No. 44
energy of formation from the pure elements	-0.150	eV/atom

***

Compound: TiFeTe2
Source: the Alexandria database
Functional: GGA-PBEsol
Structure: optimized geometry

```
data_TiFeTe2
_symmetry_space_group_name_H-M 'P 1'
_symmetry_Int_Tables_number 1
_cell_length_a 7.421
_cell_length_b 7.421
_cell_length_c 7.421
_cell_angle_alpha 132.34
_cell_angle_beta 132.34
_cell_angle_gamma 69.69
loop_
_symmetry_equiv_pos_as_xyz
'x,y,z'
loop_
_atom_site_label
_atom_site_type_symbol
_atom_site_fract_x
_atom_site_fract_y
_atom_site_fract_z
_atom_site_occupancy
Ti1 Ti 0.000 0.000 0.000 1
Ti2 Ti 0.750 0.250 0.500 1
Fe1 Fe 0.250 0.750 0.500 1
Fe2 Fe 0.500 0.500 0.000 1
Te1 Te 0.144 0.625 0.019 1
Te2 Te 0.375 0.394 0.519 1
Te3 Te 0.606 0.125 0.981 1
Te4 Te 0.875 0.856 0.481 1
```

## Properties
total magnetic moment	4.0	μB/cell
ΔE_f (raw)	0.125	eV/atom
space-group type	No. 122

***

Compound: SrLiN2F
Source: the Alexandria database
Functional: GGA-PBEsol
Structure: optimized geometry

```
data_SrLiN2F
_symmetry_space_group_name_H-M 'P 1'
_symmetry_Int_Tables_number 1
_cell_length_a 4.964
_cell_length_b 4.964
_cell_length_c 4.583
_cell_angle_alpha 90.00
_cell_angle_beta 90.00
_cell_angle_gamma 90.00
loop_
_symmetry_equiv_pos_as_xyz
'x,y,z'
loop_
_atom_site_label
_atom_site_type_symbol
_atom_site_fract_x
_atom_site_fract_y
_atom_site_fract_z
_atom_site_occupancy
Sr1 Sr 0.000 0.000 0.000 1
Li1 Li 0.500 0.500 0.500 1
N1 N 0.000 0.500 0.000 1
N2 N 0.500 0.000 0.000 1
F1 F 0.000 0.000 0.500 1
```

## Properties
total magnetic moment	4.0	μB/cell
ΔE_f (raw)	0.236	eV/atom
space-group type	No. 123

***

Compound: KLiCo
Source: the Alexandria database
Functional: GGA-PBEsol
Structure: optimized geometry

```
data_KLiCo
_symmetry_space_group_name_H-M 'P 1'
_symmetry_Int_Tables_number 1
_cell_length_a 6.491
_cell_length_b 6.491
_cell_length_c 6.491
_cell_angle_alpha 150.58
_cell_angle_beta 150.58
_cell_angle_gamma 42.09
loop_
_symmetry_equiv_pos_as_xyz
'x,y,z'
loop_
_atom_site_label
_atom_site_type_symbol
_atom_site_fract_x
_atom_site_fract_y
_atom_site_fract_z
_atom_site_occupancy
K1 K 0.000 0.000 0.000 1
Li1 Li 0.728 0.728 0.000 1
Co1 Co 0.299 0.299 0.000 1
```

## Properties
total magnetic moment	1.3	μB/cell
E above lowest polymorph	0	meV per atom
space-group type	No. 107
energy of formation from the pure elements	0.858	eV/atom

***

Compound: Mg2ZnOs
Source: the Alexandria database
Functional: GGA-PBEsol
Structure: optimized geometry

```
data_Mg2ZnOs
_symmetry_space_group_name_H-M 'P 1'
_symmetry_Int_Tables_number 1
_cell_length_a 3.187
_cell_length_b 3.187
_cell_length_c 6.562
_cell_angle_alpha 90.00
_cell_angle_beta 90.00
_cell_angle_gamma 90.00
loop_
_symmetry_equiv_pos_as_xyz
'x,y,z'
loop_
_atom_site_label
_atom_site_type_symbol
_atom_site_fract_x
_atom_site_fract_y
_atom_site_fract_z
_atom_site_occupancy
Mg1 Mg 0.000 0.000 0.000 1
Mg2 Mg 0.500 0.500 0.330 1
Zn1 Zn 0.500 0.500 0.749 1
Os1 Os 0.000 0.000 0.565 1
```

## Properties
total magnetic moment	0.0	μB/cell
space-group type	No. 99
energy of formation from the pure elements	0.190	eV/atom

***

Compound: Mo3W
Source: the Alexandria database
Functional: GGA-PBEsol
Structure: optimized geometry

```
data_Mo3W
_symmetry_space_group_name_H-M 'P 1'
_symmetry_Int_Tables_number 1
_cell_length_a 5.426
_cell_length_b 5.426
_cell_length_c 4.432
_cell_angle_alpha 90.00
_cell_angle_beta 90.00
_cell_angle_gamma 109.50
loop_
_symmetry_equiv_pos_as_xyz
'x,y,z'
loop_
_atom_site_label
_atom_site_type_symbol
_atom_site_fract_x
_atom_site_fract_y
_atom_site_fract_z
_atom_site_occupancy
Mo1 Mo 0.125 0.374 0.750 1
Mo2 Mo 0.125 0.875 0.750 1
Mo3 Mo 0.374 0.125 0.250 1
Mo4 Mo 0.626 0.875 0.750 1
Mo5 Mo 0.875 0.125 0.250 1
Mo6 Mo 0.875 0.626 0.250 1
W1 W 0.375 0.625 0.250 1
W2 W 0.625 0.375 0.750 1
```

## Properties
total magnetic moment	0.0	μB/cell
E above lowest polymorph	0	meV per atom
space-group type	No. 63
energy of formation from the pure elements	-0.003	eV/atom